## Pm2Pr3In2 (PBE)

Data for a relaxed structure of Pm2Pr3In2.

Calculated values
The calculation puts the relative energy among the computed polymorphs at 0.0 meV/atom. The calculation puts the volume at 31.32 Å³ per atom. The formation energy comes out at -0.1765 eV per atom. As for the symmetry: Cmmm.

```
Pm2Pr3In2
1.0
-2.475 -1.362 -3.959
0.343 -3.442 0.969
-11.975 0.068 4.475
Pm In Pr
2 2 3
Direct
0.289 0.500 0.421
0.711 0.500 0.579
0.430 0.500 0.140
0.570 0.500 0.860
0.000 0.000 0.000
0.862 0.000 0.275
0.138 0.000 0.725
```